Below is crystalline PrHo8 at its relaxed geometry, with properties calculated at the PBE level.

Cell lengths 7.9302, 7.9302, 7.9302 Å; angles 95.71, 95.71, 143.23 degrees
With the nearest neighbours (Å) after each atom.
Fractional coordinates of all 9 atoms:
Pr: 0.0000 0.0000 0.0000  12 Ho 3.55-3.56
Ho: 0.0000 0.3346 0.3346  11 Ho 3.52-3.55, 1 Pr 3.56
Ho: 0.0000 0.6654 0.6654  11 Ho 3.52-3.55, 1 Pr 3.56
Ho: 0.3322 0.3322 0.6643  10 Ho 3.52-3.57, 2 Pr 3.55
Ho: 0.3322 0.6678 0.0000  10 Ho 3.52-3.57, 2 Pr 3.55
Ho: 0.3346 0.0000 0.3346  11 Ho 3.52-3.55, 1 Pr 3.56
Ho: 0.6654 0.0000 0.6654  11 Ho 3.52-3.55, 1 Pr 3.56
Ho: 0.6678 0.3322 0.0000  10 Ho 3.52-3.57, 2 Pr 3.55
Ho: 0.6678 0.6678 0.3357  10 Ho 3.52-3.57, 2 Pr 3.55

Volume in Å³ per atom: 31.475
E_tot in eV per atom: -4.58
Calculated formation energy in meV per atom: 23
Total magnetic moment in μB per cell: 0.00
SG: I4/mmm (139)

=====

Below is crystalline Tb4SmCu at its relaxed geometry, with properties calculated at the PBE level.

Cell lengths 3.5415, 3.5415, 13.7432 Å; angles 90.00, 90.00, 90.00 degrees
With the nearest neighbours (Å) after each atom.
Fractional coordinates of all 6 atoms:
Tb: 0.0000 0.0000 0.1238  4 Cu 3.03
Tb: 0.0000 0.0000 0.8762  4 Cu 3.03
Tb: 0.5000 0.5000 0.3139  8 Tb 3.54-3.62, 4 Sm 3.58
Tb: 0.5000 0.5000 0.6861  8 Tb 3.54-3.62, 4 Sm 3.58
Sm: 0.0000 0.0000 0.5000  4 Sm 3.54, 8 Tb 3.58
Cu: 0.5000 0.5000 0.0000  8 Tb 3.03

Volume in Å³ per atom: 28.729
E_tot in eV per atom: -4.61
Calculated formation energy in meV per atom: -52
Total magnetic moment in μB per cell: 0.00
SG: P4/mmm (123)

=====

Below is crystalline LaCeGdHo at its relaxed geometry, with properties calculated at the PBE level.

Cell lengths 5.7300, 5.7300, 5.7300 Å; angles 60.00, 60.00, 60.00 degrees
With the nearest neighbours (Å) after each atom.
Fractional coordinates of all 4 atoms:
La: 0.0000 0.0000 0.0000  4 Ho 3.51, 4 Gd 3.51
Ce: 0.5000 0.5000 0.5000  4 Ho 3.51, 4 Gd 3.51
Gd: 0.2500 0.2500 0.2500  4 La 3.51, 4 Ce 3.51
Ho: 0.7500 0.7500 0.7500  4 Ce 3.51, 4 La 3.51

Volume in Å³ per atom: 33.258
E_tot in eV per atom: -7.22
Calculated formation energy in meV per atom: 164
Total magnetic moment in μB per cell: 6.68
SG: F-43m (216)

=====

Below is crystalline ScPb at its relaxed geometry, with properties calculated at the PBE level.

Cell lengths 5.9568, 5.9568, 6.7016 Å; angles 106.66, 106.66, 42.39 degrees
With the nearest neighbours (Å) after each atom.
Fractional coordinates of all 6 atoms:
Sc: 0.0000 0.0000 0.0000  7 Pb 3.06-3.39, 5 Sc 3.36-3.38
Sc: 0.0368 0.0368 0.5203  6 Pb 3.01-3.19, 1 Sc 3.36
Sc: 0.3197 0.3197 0.1700  6 Pb 3.06-3.43, 3 Sc 3.37-3.38
Pb: 0.3831 0.3831 0.6726  5 Sc 3.06-3.22, 1 Pb 3.26
Pb: 0.6434 0.6434 0.3108  6 Sc 3.01-3.24, 1 Pb 3.29
Pb: 0.6914 0.6914 0.8509  7 Sc 3.06-3.39, 2 Pb 3.26-3.29

Volume in Å³ per atom: 25.427
E_tot in eV per atom: -5.30
Calculated formation energy in meV per atom: -277
Total magnetic moment in μB per cell: 0.00
SG: Cm (8)

=====

Below is crystalline Tc2BiH at its relaxed geometry, with properties calculated at the PBE level.

Cell lengths 6.2506, 6.2506, 6.2506 Å; angles 133.33, 133.33, 68.13 degrees
With the nearest neighbours (Å) after each atom.
Fractional coordinates of all 8 atoms:
Tc: 0.3750 0.1509 0.2759  2 H 1.80
Tc: 0.8491 0.1250 0.2241  2 H 1.80
Tc: 0.8750 0.0991 0.7241  2 H 1.80
Tc: 0.9009 0.6250 0.7759  2 H 1.80
Bi: 0.2500 0.7500 0.5000  8 Tc 2.95-3.16
Bi: 0.5000 0.5000 0.0000  8 Tc 2.95-3.16
H: 0.0000 0.0000 0.0000  4 Tc 1.80
H: 0.7500 0.2500 0.5000  4 Tc 1.80

Volume in Å³ per atom: 15.870
E_tot in eV per atom: -6.46
Energy relative to the lowest polymorph listed for this composition in meV per atom: 0
Total magnetic moment in μB per cell: 0.00
SG: I-42d (122)

=====

Below is crystalline TbEr2Sb at its relaxed geometry, with properties calculated at the PBE level.

Cell lengths 9.6910, 9.6910, 9.6910 Å; angles 23.64, 23.64, 23.64 degrees
With the nearest neighbours (Å) after each atom.
Fractional coordinates of all 4 atoms:
Tb: 0.0000 0.0000 0.0000  6 Er 3.60-3.62, 6 Tb 3.97
Er: 0.5675 0.5675 0.5675  3 Sb 3.00
Er: 0.7648 0.7648 0.7648  3 Sb 2.98
Sb: 0.1656 0.1656 0.1656  6 Er 2.98-3.00

Volume in Å³ per atom: 32.137
E_tot in eV per atom: -4.78
Energy relative to the lowest polymorph listed for this composition in meV per atom: 238
Raw formation energy in eV/atom: -0.3082
Total magnetic moment in μB per cell: 0.72
SG: R3m (160)

=====

Below is crystalline Pm2TeO3 at its relaxed geometry, with properties calculated at the PBE level.

Cell lengths 6.2132, 6.2132, 3.2142 Å; angles 90.00, 90.00, 120.00 degrees
With the nearest neighbours (Å) after each atom.
Fractional coordinates of all 6 atoms:
Pm: 0.3333 0.6667 0.0000  6 O 2.41
Pm: 0.6667 0.3333 0.0000  6 O 2.41
Te: 0.0000 0.0000 0.0000  2 Te 3.21, 12 O 3.50, 6 Pm 3.59
O: 0.0000 0.5000 0.5000  4 Pm 2.41
O: 0.5000 0.0000 0.5000  4 Pm 2.41
O: 0.5000 0.5000 0.5000  4 Pm 2.41

Volume in Å³ per atom: 17.909
E_tot in eV per atom: -7.08
Raw formation energy in eV/atom: -2.4939
Total magnetic moment in μB per cell: 1.09
SG: P6/mmm (191)

=====

Below is crystalline Pu2TlGa2 at its relaxed geometry, with properties calculated at the PBE level.

Cell lengths 8.1991, 8.1991, 3.1102 Å; angles 90.00, 90.00, 147.02 degrees
With the nearest neighbours (Å) after each atom.
Fractional coordinates of all 5 atoms:
Pu: 0.1208 0.8792 0.0000  6 Ga 3.09-3.16, 2 Pu 3.11, 4 Tl 3.38
Pu: 0.8792 0.1208 0.0000  6 Ga 3.09-3.16, 2 Pu 3.11, 4 Tl 3.38
Tl: 0.5000 0.5000 0.5000  2 Tl 3.11, 2 Ga 3.21, 8 Pu 3.38
Ga: 0.2956 0.7044 0.5000  2 Ga 2.73
Ga: 0.7044 0.2956 0.5000  2 Ga 2.73

Volume in Å³ per atom: 22.764
E_tot in eV per atom: -7.65
Calculated formation energy in meV per atom: -231
Total magnetic moment in μB per cell: 11.22
SG: Cmmm (65)

=====

Below is crystalline La2CdPb at its relaxed geometry, with properties calculated at the PBE level.

Cell lengths 4.4313, 4.4313, 6.7276 Å; angles 90.00, 90.00, 90.00 degrees
With the nearest neighbours (Å) after each atom.
Fractional coordinates of all 4 atoms:
La: 0.0000 0.0000 0.0000  2 Pb 3.27-3.46, 4 Cd 3.40
La: 0.5000 0.5000 0.3153  2 Cd 3.28-3.45, 4 Pb 3.41
Cd: 0.5000 0.5000 0.8032  6 La 3.28-3.45
Pb: 0.0000 0.0000 0.5145  6 La 3.27-3.46

Volume in Å³ per atom: 33.027
E_tot in eV per atom: -3.85
Calculated formation energy in meV per atom: -233
Total magnetic moment in μB per cell: 0.39
SG: P4mm (99)

=====

Below is crystalline Ac4Cd5Au2 at its relaxed geometry, with properties calculated at the PBE level.

Cell lengths 8.0226, 4.1426, 10.2303 Å; angles 90.00, 94.32, 90.00 degrees
With the nearest neighbours (Å) after each atom.
Fractional coordinates of all 11 atoms:
Ac: 0.1724 0.0000 0.3672  2 Au 3.19, 2 Cd 3.54
Ac: 0.2454 0.0000 0.9417  4 Au 3.29-3.31, 6 Cd 3.57-3.64
Ac: 0.7546 0.0000 0.0583  4 Au 3.29-3.31, 6 Cd 3.57-3.64
Ac: 0.8276 0.0000 0.6328  2 Au 3.19, 2 Cd 3.54
Cd: 0.1947 0.5000 0.6524  2 Cd 3.00-3.12, 1 Au 3.11
Cd: 0.4514 0.5000 0.1977  2 Cd 3.09-3.12, 1 Au 3.10
Cd: 0.5000 0.5000 0.5000  4 Cd 3.00-3.09
Cd: 0.5486 0.5000 0.8023  2 Cd 3.09-3.12, 1 Au 3.10
Cd: 0.8053 0.5000 0.3476  2 Cd 3.00-3.12, 1 Au 3.11
Au: 0.0670 0.5000 0.1388  1 Au 2.96, 2 Cd 3.10-3.11, 6 Ac 3.19-3.31
Au: 0.9330 0.5000 0.8612  1 Au 2.96, 2 Cd 3.10-3.11, 6 Ac 3.19-3.31

Volume in Å³ per atom: 30.821
E_tot in eV per atom: -2.95
Calculated formation energy in meV per atom: -444
Total magnetic moment in μB per cell: 0.00
SG: P2/m (10)

=====

Below is crystalline Tb3Y2Te6 at its relaxed geometry, with properties calculated at the PBE level.

Cell lengths 7.5127, 7.5127, 7.5172 Å; angles 99.69, 99.69, 119.73 degrees
With the nearest neighbours (Å) after each atom.
Fractional coordinates of all 11 atoms:
Tb: 0.0000 0.0000 0.0000  6 Te 3.07-3.16
Tb: 0.3303 0.6697 0.0000  6 Te 3.08-3.14
Tb: 0.6697 0.3303 0.0000  6 Te 3.08-3.14
Y: 0.1642 0.8358 0.5000  6 Te 3.05-3.09
Y: 0.8358 0.1642 0.5000  6 Te 3.05-3.09
Te: 0.0968 0.4202 0.2580  3 Tb 3.07-3.14, 2 Y 3.08-3.09
Te: 0.2587 0.2587 0.7444  2 Y 3.05, 3 Tb 3.09-3.16
Te: 0.4202 0.0968 0.2580  3 Tb 3.07-3.14, 2 Y 3.08-3.09
Te: 0.5798 0.9032 0.7420  3 Tb 3.07-3.14, 2 Y 3.08-3.09
Te: 0.7413 0.7413 0.2556  2 Y 3.05, 3 Tb 3.09-3.16
Te: 0.9032 0.5798 0.7420  3 Tb 3.07-3.14, 2 Y 3.08-3.09

Volume in Å³ per atom: 31.554
E_tot in eV per atom: -5.57
Raw formation energy in eV/atom: -1.4144
Total magnetic moment in μB per cell: 0.00
SG: C2/m (12)

=====

Below is crystalline Zr4CuNi3 at its relaxed geometry, with properties calculated at the PBE level.

Cell lengths 3.3148, 4.1321, 10.0056 Å; angles 90.00, 90.00, 90.00 degrees
With the nearest neighbours (Å) after each atom.
Fractional coordinates of all 8 atoms:
Zr: 0.0000 0.0000 0.0000  6 Ni 2.71-2.75, 1 Cu 2.87
Zr: 0.0000 0.5000 0.2751  7 Ni 2.71-2.81
Zr: 0.5000 0.0000 0.4916  5 Ni 2.73, 2 Cu 2.77
Zr: 0.5000 0.5000 0.7811  4 Cu 2.73, 3 Ni 2.76-2.80
Cu: 0.0000 0.0000 0.7136  2 Ni 2.60, 7 Zr 2.73-2.87
Ni: 0.0000 0.5000 0.5561  2 Cu 2.60, 7 Zr 2.73-2.81
Ni: 0.5000 0.0000 0.2190  2 Ni 2.62, 7 Zr 2.71-2.75
Ni: 0.5000 0.5000 0.0574  2 Ni 2.62, 7 Zr 2.71-2.76

Volume in Å³ per atom: 17.131
E_tot in eV per atom: -7.32
Calculated formation energy in meV per atom: -362
Total magnetic moment in μB per cell: 0.00
SG: Pmm2 (25)

=====

Below is crystalline ZrC at its relaxed geometry, with properties calculated at the PBE level.

Cell lengths 4.6525, 4.6525, 4.6063 Å; angles 90.00, 90.00, 90.00 degrees
With the nearest neighbours (Å) after each atom.
Fractional coordinates of all 6 atoms:
Zr: 0.0000 0.0000 0.0000  6 C 2.30-2.33
Zr: 0.0000 0.5000 0.5000  4 C 2.30-2.33
Zr: 0.5000 0.0000 0.5000  4 C 2.30-2.33
C: 0.0000 0.0000 0.5000  6 Zr 2.30-2.33
C: 0.0000 0.5000 0.0000  4 Zr 2.30-2.33
C: 0.5000 0.0000 0.0000  4 Zr 2.30-2.33

Volume in Å³ per atom: 16.618
E_tot in eV per atom: -8.73
Energy relative to the lowest polymorph listed for this composition in meV per atom: 967
Calculated formation energy in meV per atom: 160
Total magnetic moment in μB per cell: 0.00
SG: P4/mmm (123)